A plane-wave DFT calculation with PBE was carried out for Y2Sb2Ru after structural relaxation.

Output
ΔE to the lowest computed polymorph = 0.621 eV per atom
DFT total energy = -6.13 eV/atom
Formation energy from raw total energies = -0.04 eV per atom
Total magnetic moment = 0.29 μB per atom

Lattice parameters (Å, degrees): 5.892 5.892 8.421 90.00 90.00 90.00
Space group I4/mmm (No. 139)
Inequivalent atoms, fractional coordinates:
Y: 0.000 0.500 0.250 x4
Sb: 0.000 0.000 0.184 x4
Ru: 0.000 0.000 0.500 x2

---

A plane-wave DFT calculation with PBE was carried out for Y6SbRu2 after structural relaxation.

Output
DFT total energy = -7.31 eV/atom
Formation energy from raw total energies = -0.48 eV per atom
Total magnetic moment = 0.00 μB per atom

Lattice parameters (Å, degrees): 9.496 9.623 10.366 90.00 90.00 90.00
Space group Immm (No. 71)
Inequivalent atoms, fractional coordinates:
Y: 0.000 0.206 0.240 x8
Y: 0.185 0.500 0.171 x8
Y: 0.217 0.319 0.500 x8
Sb: 0.000 0.000 0.000 x2
Sb: 0.000 0.000 0.500 x2
Ru: 0.000 0.328 0.000 x4
Ru: 0.000 0.500 0.375 x4

---

A plane-wave DFT calculation with PBE was carried out for YSbRu4 after structural relaxation.

Output
DFT total energy = -7.92 eV/atom
Formation energy from raw total energies = 0.03 eV per atom
Total magnetic moment = 0.00 μB per atom

Lattice parameters (Å, degrees): 7.475 7.475 7.475 90.00 90.00 90.00
Space group F-43m (No. 216)
Inequivalent atoms, fractional coordinates:
Y: 0.000 0.000 0.000 x4
Sb: 0.250 0.250 0.250 x4
Ru: 0.124 0.124 0.624 x16

---

A plane-wave DFT calculation with PBE was carried out for Y5SbRu2 after structural relaxation.

Output
DFT total energy = -7.41 eV/atom
Formation energy from raw total energies = -0.54 eV per atom
Total magnetic moment = 0.00 μB per atom

Lattice parameters (Å, degrees): 7.734 7.734 13.576 90.00 90.00 90.00
Space group I4/mcm (No. 140)
Inequivalent atoms, fractional coordinates:
Y: 0.000 0.000 0.000 x4
Y: 0.158 0.342 0.135 x16
Sb: 0.000 0.000 0.250 x4
Ru: 0.139 0.361 0.500 x8

---

A plane-wave DFT calculation with PBE was carried out for Y2SbRu2 after structural relaxation.

Output
ΔE to the lowest computed polymorph = 0.208 eV per atom
DFT total energy = -7.36 eV/atom
Formation energy from raw total energies = -0.23 eV per atom
Total magnetic moment = 0.07 μB per atom

Lattice parameters (Å, degrees): 3.664 3.664 17.161 90.00 90.00 90.00
Space group I4/mmm (No. 139)
Inequivalent atoms, fractional coordinates:
Y: 0.000 0.000 0.114 x4
Sb: 0.000 0.000 0.500 x2
Ru: 0.000 0.500 0.250 x4

---

A plane-wave DFT calculation with PBE was carried out for Y2SbRu2 after structural relaxation.

Output
ΔE to the lowest computed polymorph = 0.000 eV per atom
DFT total energy = -7.56 eV/atom
Formation energy from raw total energies = -0.44 eV per atom
Total magnetic moment = 0.00 μB per atom

Lattice parameters (Å, degrees): 6.972 6.972 4.434 90.00 90.00 90.00
Space group P4/mbm (No. 127)
Inequivalent atoms, fractional coordinates:
Y: 0.179 0.321 0.000 x4
Sb: 0.000 0.000 0.500 x2
Ru: 0.123 0.623 0.500 x4

---

Number 1: N(E_F) 4.2 states/eV/f.u.. Number 2: N(E_F) 7.4 states/eV/f.u.. Number 3: N(E_F) 8.8 states/eV/f.u.. Number 4: N(E_F) 7.1 states/eV/f.u.. Number 5: N(E_F) 5.8 states/eV/f.u.. Number 6: N(E_F) 4.1 states/eV/f.u..